{"formula": "Rb8Au5O", "functional": "GGA-PBE", "state": "optimized geometry", "magmom_total_mub_per_atom": 0.00, "formation_energy_uncorrected_mev_per_atom": -373, "lattice": [[-6.6276, 5.9778, -1.0791], [5.5536, 0.1183, -7.0687], [-3.8323, -8.0845, 0.8816]], "species": ["Rb", "Rb", "Rb", "Rb", "Rb", "Rb", "Rb", "Rb", "Au", "Au", "Au", "Au", "Au", "O"], "fractional_positions": [[0.1494, 0.7061, 0.9677], [0.0323, 0.1816, 0.7384], [0.7682, 0.2460, 0.3652], [0.6348, 0.4030, 0.8808], [0.4778, 0.5970, 0.2318], [0.5568, 0.8184, 0.8506], [0.2616, 0.2939, 0.4432], [0.1192, 0.7540, 0.5222], [0.0043, 0.3799, 0.1310], [0.8690, 0.8733, 0.2488], [0.7512, 0.6201, 0.6245], [0.5000, 0.0000, 0.5000], [0.3755, 0.1267, 0.9957], [0.2500, 0.5000, 0.7500]]}

***

{"formula": "Rb6Au3O", "functional": "GGA-PBE", "state": "optimized geometry", "magmom_total_mub_per_atom": 0.00, "formation_energy_uncorrected_mev_per_atom": -451, "de_polymorph_mev_per_atom": 0, "lattice": [[-3.6141, 6.3685, -6.4199], [-7.3186, -6.2826, -1.3420], [-4.4104, 4.3154, 7.5339]], "species": ["Rb", "Rb", "Rb", "Rb", "Rb", "Rb", "Rb", "Rb", "Rb", "Rb", "Rb", "Rb", "Au", "Au", "Au", "Au", "Au", "Au", "O", "O"], "fractional_positions": [[0.0529, 0.7233, 0.9330], [0.0670, 0.9471, 0.2767], [0.2245, 0.4260, 0.5473], [0.2767, 0.0670, 0.9471], [0.4260, 0.5473, 0.2245], [0.4527, 0.7755, 0.5740], [0.5473, 0.2245, 0.4260], [0.5740, 0.4527, 0.7755], [0.7233, 0.9330, 0.0529], [0.7755, 0.5740, 0.4527], [0.9330, 0.0529, 0.7233], [0.9471, 0.2767, 0.0670], [0.0742, 0.5806, 0.2609], [0.2609, 0.0742, 0.5806], [0.4194, 0.7391, 0.9258], [0.5806, 0.2609, 0.0742], [0.7391, 0.9258, 0.4194], [0.9258, 0.4194, 0.7391], [0.0000, 0.0000, 0.0000], [0.5000, 0.5000, 0.5000]]}

***

What did the second record say?
{"formula": "Rb6Au3O", "functional": "GGA-PBE", "state": "optimized geometry", "magmom_total_mub_per_atom": 0.00, "formation_energy_uncorrected_mev_per_atom": -451, "de_polymorph_mev_per_atom": 0, "lattice": [[-3.6141, 6.3685, -6.4199], [-7.3186, -6.2826, -1.3420], [-4.4104, 4.3154, 7.5339]], "species": ["Rb", "Rb", "Rb", "Rb", "Rb", "Rb", "Rb", "Rb", "Rb", "Rb", "Rb", "Rb", "Au", "Au", "Au", "Au", "Au", "Au", "O", "O"], "fractional_positions": [[0.0529, 0.7233, 0.9330], [0.0670, 0.9471, 0.2767], [0.2245, 0.4260, 0.5473], [0.2767, 0.0670, 0.9471], [0.4260, 0.5473, 0.2245], [0.4527, 0.7755, 0.5740], [0.5473, 0.2245, 0.4260], [0.5740, 0.4527, 0.7755], [0.7233, 0.9330, 0.0529], [0.7755, 0.5740, 0.4527], [0.9330, 0.0529, 0.7233], [0.9471, 0.2767, 0.0670], [0.0742, 0.5806, 0.2609], [0.2609, 0.0742, 0.5806], [0.4194, 0.7391, 0.9258], [0.5806, 0.2609, 0.0742], [0.7391, 0.9258, 0.4194], [0.9258, 0.4194, 0.7391], [0.0000, 0.0000, 0.0000], [0.5000, 0.5000, 0.5000]]}

***

What did the first record say?
{"formula": "Rb8Au5O", "functional": "GGA-PBE", "state": "optimized geometry", "magmom_total_mub_per_atom": 0.00, "formation_energy_uncorrected_mev_per_atom": -373, "lattice": [[-6.6276, 5.9778, -1.0791], [5.5536, 0.1183, -7.0687], [-3.8323, -8.0845, 0.8816]], "species": ["Rb", "Rb", "Rb", "Rb", "Rb", "Rb", "Rb", "Rb", "Au", "Au", "Au", "Au", "Au", "O"], "fractional_positions": [[0.1494, 0.7061, 0.9677], [0.0323, 0.1816, 0.7384], [0.7682, 0.2460, 0.3652], [0.6348, 0.4030, 0.8808], [0.4778, 0.5970, 0.2318], [0.5568, 0.8184, 0.8506], [0.2616, 0.2939, 0.4432], [0.1192, 0.7540, 0.5222], [0.0043, 0.3799, 0.1310], [0.8690, 0.8733, 0.2488], [0.7512, 0.6201, 0.6245], [0.5000, 0.0000, 0.5000], [0.3755, 0.1267, 0.9957], [0.2500, 0.5000, 0.7500]]}